Entry 1:
# BeV3

A relaxed structure of BeV3 (PBE, the Alexandria database).

CIF file:
```
data_BeV3
_chemical_formula_sum 'Be4 V12'
_cell_length_a 5.813
_cell_length_b 5.813
_cell_length_c 5.813
_cell_angle_alpha 90.00
_cell_angle_beta 90.00
_cell_angle_gamma 90.00
_symmetry_space_group_name_H-M 'F m -3 m'
_symmetry_Int_Tables_number 225
_symmetry_space_group_name_Hall '-F 4 2 3'
loop_
_atom_site_label
_atom_site_type_symbol
_atom_site_fract_x
_atom_site_fract_y
_atom_site_fract_z
Be1 Be 0.000 0.000 0.000
V1 V 0.000 0.000 0.500
V2 V 0.250 0.250 0.250
```

- Formation energy: 65 meV/atom
- Total moment: 0.00 μB per cell


Entry 2:
# Be2V

A relaxed structure of Be2V (PBE, the Alexandria database).

CIF file:
```
data_Be2V
_chemical_formula_sum 'Be8 V4'
_cell_length_a 3.382
_cell_length_b 10.595
_cell_length_c 3.343
_cell_angle_alpha 90.00
_cell_angle_beta 90.00
_cell_angle_gamma 90.00
_symmetry_space_group_name_H-M 'C m m m'
_symmetry_Int_Tables_number 65
_symmetry_space_group_name_Hall '-C 2 2'
loop_
_atom_site_label
_atom_site_type_symbol
_atom_site_fract_x
_atom_site_fract_y
_atom_site_fract_z
Be1 Be 0.000 0.000 0.000
Be2 Be 0.000 0.158 0.500
Be3 Be 0.000 0.500 0.500
V1 V 0.000 0.337 0.000
```

- Formation energy: -87 meV/atom
- Total moment: 0.00 μB per cell